Entry 1:
A relaxed structure of TbHoCS. Source: the Open Quantum Materials Database, functional PBE-GGA.

* total DFT energy (no corrections): -6.892 eV per atom
* symmetry: P-6m2 (187)
* ρ: 7.952 g cm⁻³

Cell lengths 3.7067, 3.7067, 12.9139 Å; angles 90.00, 90.00, 120.00 degrees
Fractional positions:
Ho: 0.3333 0.6667 0.1452
Ho: 0.3333 0.6667 0.8548
C: 0.0000 0.0000 0.2486
C: 0.0000 0.0000 0.7514
S: 0.6667 0.3333 0.0000
S: 0.3333 0.6667 0.5000
Tb: 0.6667 0.3333 0.6462
Tb: 0.6667 0.3333 0.3538

***

Entry 2:
A relaxed structure of Ho4TeC2S. Source: the Open Quantum Materials Database, functional PBE-GGA.

* total DFT energy (no corrections): -6.577 eV per atom
* symmetry: P-6m2 (187)
* ρ: 8.618 g cm⁻³

Cell lengths 3.7325, 3.7325, 13.4697 Å; angles 90.00, 90.00, 120.00 degrees
Fractional positions:
Ho: 0.3333 0.6667 0.1376
Ho: 0.0000 0.0000 0.3329
Ho: 0.3333 0.6667 0.8624
Ho: 0.0000 0.0000 0.6671
Te: 0.3333 0.6667 0.5000
C: 0.6667 0.3333 0.2374
C: 0.6667 0.3333 0.7626
S: 0.0000 0.0000 0.0000

***

Entry 3:
A relaxed structure of HoTmCS. Source: the Open Quantum Materials Database, functional PBE-GGA.

* total DFT energy (no corrections): -6.891 eV per atom
* symmetry: P-6m2 (187)
* ρ: 8.464 g cm⁻³

Cell lengths 3.6644, 3.6644, 12.7519 Å; angles 90.00, 90.00, 120.00 degrees
Fractional positions:
C: 0.0000 0.0000 0.7513
C: 0.0000 0.0000 0.2487
S: 0.6667 0.3333 0.0000
S: 0.3333 0.6667 0.5000
Tm: 0.3333 0.6667 0.1459
Tm: 0.3333 0.6667 0.8541
Ho: 0.6667 0.3333 0.6468
Ho: 0.6667 0.3333 0.3532